Below is crystalline UFe2Os at its relaxed geometry, with properties calculated at the PBE-GGA level.

Cell lengths 3.757, 3.902, 3.902 Å; angles 90.00, 90.00, 90.00 degrees
Sites, in units of the cell vectors:
Os 0.500 0.000 0.000
U 0.500 0.500 0.500
Fe 0.000 0.000 0.500
Fe 0.000 0.500 0.000

- excess energy over the best structure of this formula in the dataset (eV/f.u.) = 0.00



Below is crystalline PmTmBi2 at its relaxed geometry, with properties calculated at the PBE-GGA level.

Cell lengths 4.142, 4.142, 6.892 Å; angles 90.00, 90.00, 90.00 degrees
Sites, in units of the cell vectors:
Tm 0.500 0.500 0.500
Bi 0.000 0.000 0.746
Bi 0.000 0.000 0.254
Pm 0.500 0.500 0.000

- excess energy over the best structure of this formula in the dataset (eV/f.u.) = 0.86



Below is crystalline Ho12TmIn6 at its relaxed geometry, with properties calculated at the PBE-GGA level.

Cell lengths 8.136, 8.136, 8.136 Å; angles 88.63, 88.63, 88.63 degrees
Sites, in units of the cell vectors:
Ho 0.806 0.526 0.438
Ho 0.438 0.806 0.526
Ho 0.526 0.438 0.806
Ho 0.194 0.474 0.562
Ho 0.562 0.194 0.474
Ho 0.474 0.562 0.194
Ho 0.077 0.128 0.384
Ho 0.872 0.616 0.923
Ho 0.616 0.923 0.872
Ho 0.923 0.872 0.616
Ho 0.128 0.384 0.077
Ho 0.384 0.077 0.128
Tm 0.000 0.000 0.000
In 0.723 0.875 0.255
In 0.745 0.277 0.125
In 0.125 0.745 0.277
In 0.277 0.125 0.745
In 0.255 0.723 0.875
In 0.875 0.255 0.723

- VASP energy (eV/atom) = -4.19



Below is crystalline Zr2FePb2 at its relaxed geometry, with properties calculated at the PBE-GGA level.

Cell lengths 7.158, 7.158, 4.365 Å; angles 90.00, 90.00, 90.00 degrees
Last column: magnetic moment on the atom in μB.
Sites, in units of the cell vectors:
Pb 0.353 0.853 0.000  -0.02
Pb 0.853 0.647 0.000  -0.02
Pb 0.647 0.147 0.000  -0.02
Pb 0.147 0.353 0.000  -0.02
Fe 0.000 0.000 0.000  2.51
Fe 0.500 0.500 0.000  2.51
Zr 0.164 0.664 0.500  -0.14
Zr 0.664 0.836 0.500  -0.14
Zr 0.836 0.336 0.500  -0.14
Zr 0.336 0.164 0.500  -0.14

- VASP energy (eV/atom) = -6.43



Below is crystalline NdFe2Si2 at its relaxed geometry, with properties calculated at the PBE-GGA level.

Cell lengths 5.637, 5.637, 5.637 Å; angles 138.25, 138.25, 60.53 degrees
Sites, in units of the cell vectors:
Nd 0.000 0.000 0.000
Fe 0.750 0.250 0.500
Fe 0.250 0.750 0.500
Si 0.639 0.639 0.000
Si 0.361 0.361 0.000

- VASP energy (eV/atom) = -7.13



Below is crystalline PrTaVN3 at its relaxed geometry, with properties calculated at the PBE-GGA level.

Cell lengths 3.262, 6.979, 7.505 Å; angles 105.94, 90.00, 90.00 degrees
Sites, in units of the cell vectors:
Pr 0.750 0.802 0.794
Pr 0.250 0.198 0.206
Ta 0.250 0.645 0.134
Ta 0.750 0.355 0.866
V 0.250 0.106 0.604
V 0.750 0.894 0.396
N 0.250 0.803 0.484
N 0.750 0.872 0.136
N 0.750 0.452 0.162
N 0.750 0.197 0.516
N 0.250 0.548 0.838
N 0.250 0.128 0.864

- VASP energy (eV/atom) = -9.47



Below is crystalline MnNbCoHSe2 at its relaxed geometry, with properties calculated at the PBE-GGA level.

Cell lengths 3.269, 4.168, 7.544 Å; angles 91.25, 90.25, 90.00 degrees
Last column: magnetic moment on the atom in μB.
Sites, in units of the cell vectors:
Mn 0.134 0.344 0.867  1.47
Nb 0.132 0.836 0.664  -0.19
Co 0.634 0.846 0.934  -0.75
H 0.129 0.825 0.423  0.01
Se 0.636 0.353 0.094  -0.08
Se 0.631 0.334 0.607  -0.01

- excess energy over the best structure of this formula in the dataset (eV/f.u.) = 1.25



Below is crystalline LiSiRh2 at its relaxed geometry, with properties calculated at the PBE-GGA level.

Cell lengths 4.216, 4.216, 4.216 Å; angles 60.00, 60.00, 60.00 degrees
Sites, in units of the cell vectors:
Li 0.500 0.500 0.500
Rh 0.000 0.000 0.000
Rh 0.250 0.250 0.250
Si 0.750 0.750 0.750

- VASP energy (eV/atom) = -5.82



Below is crystalline PrNdTm3 at its relaxed geometry, with properties calculated at the PBE-GGA level.

Cell lengths 3.650, 8.577, 11.466 Å; angles 90.00, 90.00, 101.07 degrees
Sites, in units of the cell vectors:
Pr 0.098 0.481 0.250
Pr 0.902 0.519 0.750
Nd 0.344 0.130 0.250
Nd 0.656 0.870 0.750
Tm 0.828 0.182 0.998
Tm 0.172 0.818 0.002
Tm 0.828 0.182 0.502
Tm 0.172 0.818 0.498
Tm 0.698 0.814 0.250
Tm 0.302 0.186 0.750

- excess energy over the best structure of this formula in the dataset (eV/f.u.) = 0.56



Below is crystalline YAl2Ni2 at its relaxed geometry, with properties calculated at the PBE-GGA level.

Cell lengths 4.064, 4.064, 10.422 Å; angles 101.24, 101.24, 90.00 degrees
Sites, in units of the cell vectors:
Y 0.628 0.628 0.256
Y 0.372 0.372 0.744
Al 0.000 0.500 0.000
Al 0.188 0.188 0.375
Al 0.500 0.000 0.000
Al 0.812 0.812 0.625
Ni 0.750 0.250 0.500
Ni 0.933 0.933 0.865
Ni 0.067 0.067 0.135
Ni 0.250 0.750 0.500

- VASP energy (eV/atom) = -5.69



Below is crystalline PuV2Mo at its relaxed geometry, with properties calculated at the PBE-GGA level.

Cell lengths 2.997, 2.997, 8.780 Å; angles 80.17, 80.17, 60.00 degrees
Last column: magnetic moment on the atom in μB.
Sites, in units of the cell vectors:
Mo 0.000 0.000 0.000  0.14
V 0.259 0.259 0.222  -0.36
V 0.741 0.741 0.778  -0.36
Pu 0.500 0.500 0.500  4.68

- excess energy over the best structure of this formula in the dataset (eV/f.u.) = 0.78



Below is crystalline KBa2Sr at its relaxed geometry, with properties calculated at the PBE-GGA level.

Cell lengths 7.274, 7.274, 4.806 Å; angles 90.00, 90.00, 90.00 degrees
Sites, in units of the cell vectors:
Sr 0.000 0.500 0.500
K 0.500 0.000 0.500
Ba 0.000 0.000 0.000
Ba 0.500 0.500 0.000

- excess energy over the best structure of this formula in the dataset (eV/f.u.) = 0.16



Below is crystalline LiZr2PtC at its relaxed geometry, with properties calculated at the PBE-GGA level.

Cell lengths 4.531, 4.531, 3.898 Å; angles 90.00, 90.00, 90.00 degrees
Sites, in units of the cell vectors:
C 0.000 0.000 0.000
Zr 0.000 0.500 0.000
Zr 0.500 0.000 0.000
Pt 0.500 0.500 0.500
Li 0.000 0.000 0.500

- excess energy over the best structure of this formula in the dataset (eV/f.u.) = 0.00



Below is crystalline Tl2HgCl at its relaxed geometry, with properties calculated at the PBE-GGA level.

Cell lengths 4.109, 4.107, 7.027 Å; angles 90.00, 90.00, 90.00 degrees
Sites, in units of the cell vectors:
Tl 0.000 0.000 0.009
Tl 0.000 0.000 0.491
Hg 0.500 0.500 0.750
Cl 0.500 0.500 0.250

- excess energy over the best structure of this formula in the dataset (eV/f.u.) = 0.20



Below is crystalline Ac2PRh5 at its relaxed geometry, with properties calculated at the PBE-GGA level.

Cell lengths 6.212, 6.212, 6.212 Å; angles 86.24, 122.20, 122.20 degrees
Sites, in units of the cell vectors:
Ac 0.500 0.243 0.743
Ac 0.500 0.743 0.243
P 0.000 0.005 0.005
Rh 0.469 0.727 0.727
Rh 0.000 0.727 0.258
Rh 0.000 0.258 0.727
Rh 0.531 0.258 0.258
Rh 0.000 0.262 0.262

- VASP energy (eV/atom) = -7.00



Below is crystalline Ti2NiS4 at its relaxed geometry, with properties calculated at the PBE-GGA level.

Cell lengths 4.504, 4.504, 6.832 Å; angles 70.75, 70.75, 90.00 degrees
Last column: magnetic moment on the atom in μB.
Sites, in units of the cell vectors:
Ni 0.000 0.000 0.000  -0.09
S 0.197 0.197 0.605  -0.07
S 0.803 0.803 0.395  -0.07
S 0.000 0.500 0.000  -0.04
S 0.500 0.000 0.000  -0.04
Ti 0.382 0.382 0.236  0.60
Ti 0.618 0.618 0.764  0.60

- excess energy over the best structure of this formula in the dataset (eV/f.u.) = 4.99



Below is crystalline Tb3Np2UN6 at its relaxed geometry, with properties calculated at the PBE-GGA level.

Cell lengths 5.991, 5.991, 6.028 Å; angles 99.54, 99.54, 119.97 degrees
Last column: magnetic moment on the atom in μB.
Sites, in units of the cell vectors:
Tb 0.167 0.833 0.500  0.08
Tb 0.833 0.167 0.500  0.08
Tb 0.500 0.500 0.500  0.08
Np 0.333 0.667 0.000  3.19
Np 0.667 0.333 0.000  3.19
U 0.000 0.000 0.000  1.07
N 0.922 0.595 0.765  -0.09
N 0.752 0.752 0.235  -0.09
N 0.078 0.405 0.235  -0.09
N 0.595 0.922 0.765  -0.09
N 0.248 0.248 0.765  -0.09
N 0.405 0.078 0.235  -0.09

- VASP energy (eV/atom) = -9.84



Below is crystalline Bi2HRuI at its relaxed geometry, with properties calculated at the PBE-GGA level.

Cell lengths 6.058, 3.532, 6.058 Å; angles 90.00, 90.00, 90.00 degrees
Last column: magnetic moment on the atom in μB.
Sites, in units of the cell vectors:
I 0.000 0.000 0.000  -0.01
Ru 0.500 0.500 0.500  1.98
Bi 0.000 0.000 0.500  -0.05
Bi 0.500 0.000 0.000  -0.06
H 0.000 0.500 0.000  0.00

- VASP energy (eV/atom) = -3.24



Below is crystalline ThCdAg3 at its relaxed geometry, with properties calculated at the PBE-GGA level.

Cell lengths 4.992, 5.230, 9.661 Å; angles 105.70, 105.30, 90.00 degrees
Sites, in units of the cell vectors:
Th 0.146 0.392 0.785
Th 0.854 0.608 0.215
Cd 0.374 0.126 0.252
Cd 0.626 0.874 0.748
Ag 0.781 0.030 0.061
Ag 0.219 0.970 0.939
Ag 0.457 0.709 0.418
Ag 0.543 0.291 0.582
Ag 0.040 0.790 0.580
Ag 0.960 0.210 0.420

- VASP energy (eV/atom) = -3.32



Below is crystalline La2Mg3Hg4 at its relaxed geometry, with properties calculated at the PBE-GGA level.

Cell lengths 6.336, 8.690, 8.918 Å; angles 90.00, 110.81, 90.00 degrees
Sites, in units of the cell vectors:
La 0.108 0.589 0.216
La 0.892 0.411 0.784
La 0.392 0.089 0.784
La 0.608 0.911 0.216
Mg 0.000 0.000 0.000
Mg 0.500 0.500 0.000
Mg 0.530 0.750 0.560
Mg 0.970 0.250 0.440
Mg 0.470 0.250 0.440
Mg 0.030 0.750 0.560
Hg 0.700 0.750 0.900
Hg 0.800 0.250 0.100
Hg 0.300 0.250 0.100
Hg 0.200 0.750 0.900
Hg 0.182 0.966 0.365
Hg 0.818 0.034 0.635
Hg 0.318 0.466 0.635
Hg 0.682 0.534 0.365

- excess energy over the best structure of this formula in the dataset (eV/f.u.) = 0.22